Entry 1:
Material: SmLuMg
Method: DFT, PBE
State: optimized geometry

POSCAR file:
```
SmLuMg
1.0
0.0000 3.6893 3.6893
3.6893 0.0000 3.6893
3.6893 3.6893 0.0000
Lu Mg Sm
1 1 1
direct
0.2500 0.2500 0.2500
0.0000 0.0000 0.0000
0.7500 0.7500 0.7500
```

Computed properties:
E above lowest polymorph: 0.0 meV/atom
Volume: 33.48 A^3/atom


Entry 2:
Material: LuMgSn
Method: DFT, PBE
State: optimized geometry

POSCAR file:
```
LuMgSn
1.0
0.0000 3.4622 3.4622
3.4622 0.0000 3.4622
3.4622 3.4622 0.0000
Lu Mg Sn
1 1 1
direct
0.2500 0.2500 0.2500
0.7500 0.7500 0.7500
0.0000 0.0000 0.0000
```

Computed properties:
DFT total energy: -10.813 eV per formula unit
Volume: 27.67 A^3/atom


Entry 3:
Material: Lu2MgSn
Method: DFT, PBE
State: optimized geometry

POSCAR file:
```
Lu2MgSn
1.0
5.1118 0.0036 -1.2270
3.0652 -4.0003 1.4963
1.8463 -3.3785 -3.5795
Lu Mg Sn
2 1 1
direct
0.0000 0.0000 0.0000
0.7500 0.7500 0.7500
0.2500 0.2500 0.2500
0.5000 0.5000 0.5000
```

Computed properties:
DFT total energy: -14.740 eV per formula unit
Volume: 25.68 A^3/atom


Entry 4:
Material: SrLuMg
Method: DFT, PBE
State: optimized geometry

POSCAR file:
```
SrLuMg
1.0
0.0000 3.8876 3.8876
3.8876 0.0000 3.8876
3.8876 3.8876 0.0000
Lu Mg Sr
1 1 1
direct
0.2500 0.2500 0.2500
0.0000 0.0000 0.0000
0.7500 0.7500 0.7500
```

Computed properties:
E above lowest polymorph: 0.0 meV/atom
Volume: 39.17 A^3/atom


Entry 5:
Material: LuMgTa
Method: DFT, PBE
State: optimized geometry

POSCAR file:
```
LuMgTa
1.0
0.0000 3.3416 3.3416
3.3416 0.0000 3.3416
3.3416 3.3416 0.0000
Lu Mg Ta
1 1 1
direct
0.2500 0.2500 0.2500
0.0000 0.0000 0.0000
0.7500 0.7500 0.7500
```

Computed properties:
E above lowest polymorph: 0.0 meV/atom
Volume: 24.88 A^3/atom


Entry 6:
Material: TbLuMg
Method: DFT, PBE
State: optimized geometry

POSCAR file:
```
TbLuMg
1.0
0.0000 3.6720 3.6720
3.6720 0.0000 3.6720
3.6720 3.6720 0.0000
Lu Mg Tb
1 1 1
direct
0.2500 0.2500 0.2500
0.0000 0.0000 0.0000
0.7500 0.7500 0.7500
```

Computed properties:
E above lowest polymorph: 0.0 meV/atom
Volume: 33.01 A^3/atom


Entry 7:
Material: LuMgTc
Method: DFT, PBE
State: optimized geometry

POSCAR file:
```
LuMgTc
1.0
-3.3937 -1.4115 2.9243
-1.5412 2.8811 3.3741
-4.2922 1.8837 -0.2999
Lu Mg Tc
1 1 1
direct
0.0000 0.0000 0.0000
0.2500 0.2500 0.2500
0.7500 0.7500 0.7500
```

Computed properties:
E above lowest polymorph: 559.0 meV/atom
Volume: 24.42 A^3/atom


Entry 8:
Material: LuMgTc
Method: DFT, PBE
State: optimized geometry

POSCAR file:
```
LuMgTc
1.0
2.0083 -3.9596 1.1641
-2.1243 -3.9825 -0.8328
1.5909 -2.8118 -3.2603
Lu Mg Tc
1 1 1
direct
0.2500 0.2500 0.2500
0.7500 0.7500 0.7500
0.0000 0.0000 0.0000
```

Computed properties:
E above lowest polymorph: 0.0 meV/atom
Volume: 22.79 A^3/atom